Record 1
Material: Pr2Dy3Tm7
Method: DFT, GGA-PBE
State: optimized geometry

* uncorrected energy: -4.467 eV/atom
* N(E_F): 1.474 states/eV per atom
* ΔH_f (0 K): 0.089 eV/atom
* SG: P2/m (10)

abc: 6.297 3.499 17.347
angles: 90.00 96.23 90.00
Fractional coordinates of all 12 atoms:
Pr 0.059 0.000 0.175
Pr 0.941 0.000 0.825
Dy 0.452 0.500 0.843
Dy 0.500 0.000 0.500
Dy 0.548 0.500 0.157
Tm 0.000 0.500 0.500
Tm 0.228 0.000 0.665
Tm 0.256 0.000 0.999
Tm 0.275 0.500 0.338
Tm 0.725 0.500 0.662
Tm 0.744 0.000 0.001
Tm 0.772 0.000 0.335

Record 2
Material: BaC2I
Method: DFT, GGA-PBE
State: optimized geometry

* uncorrected formation energy: 2.139 eV per atom
* uncorrected energy: -3.341 eV/atom
* N(E_F): 0.745 states/eV per atom
* SG: Fm-3m (225)

abc: 4.914 4.914 4.914
angles: 60.00 60.00 60.00
Fractional coordinates of all 4 atoms:
Ba 0.000 0.000 0.000
C 0.250 0.250 0.250
C 0.750 0.750 0.750
I 0.500 0.500 0.500

Record 3
Material: LiCd
Method: DFT, GGA-PBE
State: optimized geometry

* uncorrected energy: -1.484 eV/atom
* N(E_F): 0.364 states/eV per atom
* ΔH_f (0 K): -0.070 eV/atom
* SG: I4/m (87)

abc: 7.681 7.681 7.681
angles: 92.22 92.22 157.28
Fractional coordinates of all 8 atoms:
Li 0.103 0.356 0.459
Li 0.356 0.897 0.253
Li 0.644 0.103 0.747
Li 0.897 0.644 0.541
Cd 0.094 0.828 0.922
Cd 0.172 0.094 0.266
Cd 0.828 0.906 0.734
Cd 0.906 0.172 0.078

Record 4
Material: Mg2ScSn
Method: DFT, GGA-PBE
State: optimized geometry

* uncorrected energy: -3.459 eV/atom
* N(E_F): 0.476 states/eV per atom
* ΔH_f (0 K): -0.078 eV/atom
* SG: I-42d (122)

abc: 11.393 11.393 11.393
angles: 158.59 158.59 30.46
Fractional coordinates of all 8 atoms:
Mg 0.124 0.625 0.999
Mg 0.375 0.374 0.499
Mg 0.626 0.125 0.001
Mg 0.875 0.876 0.501
Sc 0.000 0.000 0.000
Sc 0.750 0.250 0.500
Sn 0.250 0.750 0.500
Sn 0.500 0.500 0.000